# 1
Computed, not measured: a relaxed structure of VZnSiO5 at the GGA-PBEsol level of DFT.

Geometry as extended XYZ:
```
16
Lattice="-2.125 -4.663 -0.491 4.905 -1.269 1.909 -3.398 3.299 5.256" Properties=species:S:1:pos:R:3 pbc="T T T"
V -2.761 -0.682 2.382
V -1.062 -2.331 -0.246
Zn -1.311 0.929 4.339
Zn 0.693 -3.562 2.335
Si -1.135 -2.115 4.824
Si 0.518 -0.518 1.850
O -1.002 -0.635 5.545
O 0.385 -1.998 1.128
O 0.271 -2.539 4.110
O -0.889 -0.094 2.564
O 1.764 -0.505 2.938
O -2.382 -2.128 3.735
O -1.135 -4.073 0.264
O 0.517 1.440 6.409
O 2.529 -3.136 2.944
O -3.147 0.503 3.729
```

Computed properties:
The value obtained for the density of states at the Fermi level is 0.31 states/eV/atom. Its total energy is -7.642 eV/atom. Its calculated density is 4.33 Mg/m³. As for the crystal system: triclinic. As for the space-group type: P-1. The calculation puts the uncorrected formation energy at -2.241 eV per atom.

***

# 2
Computed, not measured: a relaxed structure of CeMg at the GGA-PBEsol level of DFT.

Geometry as extended XYZ:
```
2
Lattice="-0.556 0.144 2.981 1.893 -2.108 -1.091 4.536 3.730 0.665" Properties=species:S:1:pos:R:3 pbc="T T T"
Mg 1.077 -1.357 0.266
Ce 2.268 1.865 0.332
```

Computed properties:
The value obtained for the density of states at the Fermi level is 1.34 states/eV/atom. Its energy of formation from the pure elements is 0.030 eV/atom. Its total energy is -4.126 eV/atom. Its calculated density is 5.79 Mg/m³. As for the crystal system: hexagonal. As for the space-group type: P-6m2.

***

# 3
Computed, not measured: a relaxed structure of Mg3ScPt at the GGA-PBEsol level of DFT.

Geometry as extended XYZ:
```
5
Lattice="-1.138 -1.059 5.007 0.614 -5.121 -0.943 5.081 0.381 1.236" Properties=species:S:1:pos:R:3 pbc="T T T"
Sc 0.000 0.000 0.000
Mg 0.307 -2.560 -0.472
Mg 2.541 0.191 0.618
Mg -0.569 -0.529 2.504
Pt 2.278 -2.899 2.650
```

Computed properties:
The value obtained for the density of states at the Fermi level is 0.96 states/eV/atom. Its energy of formation from the pure elements is 1.465 eV/atom. Its total energy is -2.279 eV/atom. Its calculated density is 3.61 Mg/m³. As for the crystal system: cubic. As for the space-group type: Pm-3m.

***

# 4
Computed, not measured: a relaxed structure of HfRuSeBr2 at the GGA-PBEsol level of DFT.

Geometry as extended XYZ:
```
5
Lattice="-2.137 2.720 3.321 1.597 -2.939 3.435 4.036 2.671 0.409" Properties=species:S:1:pos:R:3 pbc="T T T"
Ru 0.000 0.000 0.000
Hf 1.748 1.226 3.583
Se 2.018 1.336 0.205
Br 0.798 -1.470 1.718
Br -1.068 1.360 1.660
```

Computed properties:
The value obtained for the density of states at the Fermi level is 0.99 states/eV/atom. Its total energy is -5.140 eV/atom. Its calculated density is 7.71 Mg/m³. As for the crystal system: tetragonal. As for the space-group type: P4/mmm. The calculation puts the uncorrected formation energy at 0.513 eV per atom.

***

# 5
Computed, not measured: a relaxed structure of MgAg2Au at the GGA-PBEsol level of DFT.

Geometry as extended XYZ:
```
4
Lattice="-0.716 -2.905 -0.435 3.411 -0.572 -1.795 2.432 -1.357 5.054" Properties=species:S:1:pos:R:3 pbc="T T T"
Mg 2.330 -0.634 0.401
Au 0.840 -2.121 2.272
Ag 2.064 -2.803 4.815
Ag 3.541 -1.309 2.916
```

Computed properties:
The value obtained for the density of states at the Fermi level is 0.31 states/eV/atom. Its energy of formation from the pure elements is -0.245 eV/atom. Its total energy is -3.311 eV/atom. Its calculated density is 10.68 Mg/m³. As for the crystal system: orthorhombic. As for the space-group type: Pmm2.

***

# 6
Computed, not measured: a relaxed structure of BaSrAs2 at the GGA-PBEsol level of DFT.

Geometry as extended XYZ:
```
4
Lattice="4.450 0.000 0.000 0.000 4.833 0.004 -2.225 -0.882 5.648" Properties=species:S:1:pos:R:3 pbc="T T T"
Sr 2.225 0.117 2.835
As 0.000 0.817 0.437
As 0.000 2.310 2.445
Ba 0.000 2.241 5.585
```

Computed properties:
The value obtained for the density of states at the Fermi level is 0.10 states/eV/atom. Its energy of formation from the pure elements is -0.984 eV/atom. Its total energy is -4.534 eV/atom. Its calculated density is 5.12 Mg/m³. As for the crystal system: monoclinic. As for the space-group type: Cm. For the relative energy among the computed polymorphs, the calculation gives 0 meV per atom.

***

# 7
Computed, not measured: a relaxed structure of CaPtAu3 at the GGA-PBEsol level of DFT.

Geometry as extended XYZ:
```
5
Lattice="5.013 0.000 0.000 0.000 5.013 0.000 0.000 0.000 5.013" Properties=species:S:1:pos:R:3 pbc="T T T"
Ca 2.506 2.506 2.506
Au 0.000 2.506 0.000
Au 0.000 0.000 2.506
Au 2.506 0.000 0.000
Pt 0.000 0.000 0.000
```

Computed properties:
The value obtained for the density of states at the Fermi level is 0.35 states/eV/atom. Its energy of formation from the pure elements is 0.074 eV/atom. Its total energy is -4.100 eV/atom. Its calculated density is 10.89 Mg/m³. As for the crystal system: cubic. As for the space-group type: Pm-3m.

***

# 8
Computed, not measured: a relaxed structure of HgIBr2 at the GGA-PBEsol level of DFT.

Geometry as extended XYZ:
```
4
Lattice="3.687 0.000 0.000 1.844 3.193 0.000 1.844 1.064 11.173" Properties=species:S:1:pos:R:3 pbc="T T T"
I 3.687 2.129 5.586
Hg 0.000 0.000 0.000
Br 5.531 3.193 2.402
Br 1.844 1.064 8.771
```

Computed properties:
The value obtained for the density of states at the Fermi level is 0.63 states/eV/atom. Its total energy is -1.517 eV/atom. Its calculated density is 6.15 Mg/m³. As for the crystal system: trigonal. As for the space-group type: R-3m. The calculation puts the uncorrected formation energy at 0.002 eV per atom.

***

- Among the records above, which one has the highest calculated density?
  CaPtAu3

***

- Which value of calculated density does entry 8 give?
  6.15 Mg/m³